Density functional theory data (PBEsol) for BaNiMo after structural relaxation.

Cell: 3.9989 3.9989 5.2572 Å, 90.00 90.00 120.00°
Space group P-6m2 (No. 187)
Inequivalent atoms, fractional coordinates:
Ba1 0.0000 0.0000 0.0000
Ni1 0.6667 0.3333 0.5000
Mo1 0.3333 0.6667 0.5000

Results
- total energy (eV per atom) = -5.96
- formation energy from the elements (eV per atom) = 0.730
- D(E_F) (states/eV/atom) = 0.86

---

Density functional theory data (PBEsol) for Ba3NiMo after structural relaxation.

Cell: 5.6856 5.6856 5.6856 Å, 90.00 90.00 90.00°
Space group Pm-3m (No. 221)
Inequivalent atoms, fractional coordinates:
Ba1 0.0000 0.0000 0.5000
Ni1 0.5000 0.5000 0.5000
Mo1 0.0000 0.0000 0.0000

Results
- total energy (eV per atom) = -3.74
- formation energy from the elements (eV per atom) = 1.133
- D(E_F) (states/eV/atom) = 2.17

---

Density functional theory data (PBEsol) for Ba2NiMo after structural relaxation.

Cell: 5.4413 5.4413 3.6791 Å, 90.00 90.00 90.00°
Space group P4/mmm (No. 123)
Inequivalent atoms, fractional coordinates:
Ba1 0.0000 0.5000 0.0000
Ni1 0.0000 0.0000 0.5000
Mo1 0.5000 0.5000 0.5000

Results
- total energy (eV per atom) = -4.44
- formation energy from the elements (eV per atom) = 1.111
- ΔE to the lowest computed polymorph (meV/atom) = 426.6
- D(E_F) (states/eV/atom) = 1.29